Record 1
A relaxed structure of Rb2Cd2Sb. Source: the Alexandria database, functional PBE.

Results
Uncorrected formation energy, eV per atom: -0.09
Energy relative to the lowest polymorph listed for this composition, eV per atom: 0.054
Symmetry: No. 139

abc: 7.1768 7.1768 6.6817
angles: 57.52 57.52 90.00
Closest atoms and distances in Å follow each position.
Element x y z (fractional)
Sb 0.0000 0.0000 0.0000  2 Cd 2.90
Rb 0.7500 0.2500 0.5000  4 Cd 3.66
Rb 0.2500 0.7500 0.5000  4 Cd 3.66
Cd 0.3332 0.3332 0.3337  1 Sb 2.90, 1 Cd 2.90
Cd 0.6668 0.6668 0.6663  1 Sb 2.90, 1 Cd 2.90

---

Record 2
A relaxed structure of Th2Co2Bi. Source: the Alexandria database, functional PBE.

Results
Formation energy from the elements, eV per atom: -0.38
Symmetry: No. 127

abc: 3.7179 7.6554 7.6554
angles: 90.00 90.00 90.00
Closest atoms and distances in Å follow each position.
Element x y z (fractional)
Th 0.5000 0.1692 0.6692  6 Co 2.89-2.94
Th 0.5000 0.6692 0.8308  6 Co 2.89-2.94
Th 0.5000 0.8308 0.3308  6 Co 2.89-2.94
Th 0.5000 0.3308 0.1692  6 Co 2.89-2.94
Co 0.0000 0.3741 0.8741  1 Co 2.73, 6 Th 2.89-2.94, 2 Bi 3.02
Co 0.0000 0.8741 0.6259  1 Co 2.73, 6 Th 2.89-2.94, 2 Bi 3.02
Co 0.0000 0.6259 0.1259  1 Co 2.73, 6 Th 2.89-2.94, 2 Bi 3.02
Co 0.0000 0.1259 0.3741  1 Co 2.73, 6 Th 2.89-2.94, 2 Bi 3.02
Bi 0.0000 0.0000 0.0000  4 Co 3.02
Bi 0.0000 0.5000 0.5000  4 Co 3.02

---

Record 3
A relaxed structure of Tb3Sm6Th2Sc. Source: the Alexandria database, functional PBE.

Results
Formation energy from the elements, eV per atom: 0.04
Symmetry: No. 12

abc: 6.1724 6.1724 11.9060
angles: 94.98 94.98 119.96
Closest atoms and distances in Å follow each position.
Element x y z (fractional)
Tb 0.1667 0.8333 0.5000  6 Tb 3.56-3.57, 6 Sm 3.62-3.63
Tb 0.8333 0.1667 0.5000  6 Tb 3.56-3.57, 6 Sm 3.62-3.63
Tb 0.5000 0.5000 0.5000  6 Tb 3.56-3.57, 6 Sm 3.62
Sm 0.9184 0.5866 0.7542  1 Sc 3.53, 2 Th 3.54-3.55, 6 Sm 3.55-3.57, 3 Tb 3.62-3.63
Sm 0.7491 0.7491 0.2464  2 Th 3.54, 1 Sc 3.55, 6 Sm 3.55-3.57, 3 Tb 3.62
Sm 0.0816 0.4134 0.2458  1 Sc 3.53, 2 Th 3.54-3.55, 6 Sm 3.55-3.57, 3 Tb 3.62-3.63
Sm 0.5866 0.9184 0.7542  1 Sc 3.53, 2 Th 3.54-3.55, 6 Sm 3.55-3.57, 3 Tb 3.62-3.63
Sm 0.2509 0.2509 0.7536  2 Th 3.54, 1 Sc 3.55, 6 Sm 3.55-3.57, 3 Tb 3.62
Sm 0.4134 0.0816 0.2458  1 Sc 3.53, 2 Th 3.54-3.55, 6 Sm 3.55-3.57, 3 Tb 3.62-3.63
Th 0.3338 0.6662 0.0000  6 Sm 3.54-3.55, 3 Th 3.55-3.57, 3 Sc 3.56-3.57
Th 0.6662 0.3338 0.0000  6 Sm 3.54-3.55, 3 Th 3.55-3.57, 3 Sc 3.56-3.57
Sc 0.0000 0.0000 0.0000  6 Sm 3.53-3.55, 6 Th 3.56-3.57